--- 1 ---
The following is a GGA-PBE calculation of a geometry-optimized YHfSe2Br structure, from Alexandria via LeMat-Bulk.

Structure (CIF):
```
data_YHfSe2Br
_cell_length_a 5.4491
_cell_length_b 5.4491
_cell_length_c 5.2835
_cell_angle_alpha 90.00
_cell_angle_beta 90.00
_cell_angle_gamma 90.00
_symmetry_space_group_name_H-M 'P 4/m m m'
_symmetry_Int_Tables_number 123
_symmetry_space_group_name_Hall '-P 4 2'
loop_
_atom_site_label
_atom_site_fract_x
_atom_site_fract_y
_atom_site_fract_z
Y1 0.0000 0.0000 0.0000
Hf1 0.5000 0.5000 0.5000
Se1 0.0000 0.5000 0.0000
Br1 0.0000 0.0000 0.5000
```

---

--- 2 ---
The following is a GGA-PBE calculation of a geometry-optimized YHfSe2Br structure, from Alexandria via LeMat-Bulk.

Structure (CIF):
```
data_YHfSe2Br
_cell_length_a 5.1763
_cell_length_b 5.1763
_cell_length_c 5.0876
_cell_angle_alpha 90.00
_cell_angle_beta 90.00
_cell_angle_gamma 90.00
_symmetry_space_group_name_H-M 'P 4/m m m'
_symmetry_Int_Tables_number 123
_symmetry_space_group_name_Hall '-P 4 2'
loop_
_atom_site_label
_atom_site_fract_x
_atom_site_fract_y
_atom_site_fract_z
Y1 0.0000 0.0000 0.0000
Hf1 0.5000 0.5000 0.5000
Se1 0.0000 0.5000 0.5000
Br1 0.5000 0.5000 0.0000
```

---

Ordering by calculated energy gives the sequence 2, 1, with the first entry being the most stable.

---

--- 1 ---
The following is a GGA-PBE calculation of a geometry-optimized HfZnSeBr2 structure, from Alexandria via LeMat-Bulk.

Structure (CIF):
```
data_HfZnSeBr2
_cell_length_a 4.9223
_cell_length_b 4.9223
_cell_length_c 5.1264
_cell_angle_alpha 90.00
_cell_angle_beta 90.00
_cell_angle_gamma 90.00
_symmetry_space_group_name_H-M 'P 4/m m m'
_symmetry_Int_Tables_number 123
_symmetry_space_group_name_Hall '-P 4 2'
loop_
_atom_site_label
_atom_site_fract_x
_atom_site_fract_y
_atom_site_fract_z
Hf1 0.0000 0.0000 0.0000
Zn1 0.5000 0.5000 0.5000
Se1 0.5000 0.5000 0.0000
Br1 0.0000 0.5000 0.5000
```

---

--- 2 ---
The following is a GGA-PBE calculation of a geometry-optimized HfZnSeBr2 structure, from Alexandria via LeMat-Bulk.

Structure (CIF):
```
data_HfZnSeBr2
_cell_length_a 5.3724
_cell_length_b 5.3724
_cell_length_c 5.1181
_cell_angle_alpha 90.00
_cell_angle_beta 90.00
_cell_angle_gamma 90.00
_symmetry_space_group_name_H-M 'P 4/m m m'
_symmetry_Int_Tables_number 123
_symmetry_space_group_name_Hall '-P 4 2'
loop_
_atom_site_label
_atom_site_fract_x
_atom_site_fract_y
_atom_site_fract_z
Hf1 0.0000 0.0000 0.0000
Zn1 0.5000 0.5000 0.5000
Se1 0.0000 0.0000 0.5000
Br1 0.0000 0.5000 0.0000
```

---

Ordering by calculated energy gives the sequence 2, 1, with the first entry being the most stable.